Below is a relaxed LiCd4Cl crystal, with properties calculated at the GGA-PBE level.

```
data_LiCd4Cl
_cell_length_a 8.5171
_cell_length_b 8.5171
_cell_length_c 8.5171
_cell_angle_alpha 90.00
_cell_angle_beta 90.00
_cell_angle_gamma 90.00
_space_group_name_H-M_alt 'F -4 3 m'
_space_group_IT_number 216
_space_group_name_Hall 'F -4 2 3'
loop_
_atom_site_label
_atom_site_fract_x
_atom_site_fract_y
_atom_site_fract_z
Li1 0.0000 0.0000 0.0000
Cd1 0.1254 0.1254 0.6254
Cl1 0.2500 0.2500 0.2500
```

Output
The calculation puts the final energy at -1.347 eV per atom. The calculation puts the uncorrected formation energy at -0.11 eV/atom.

Below is a relaxed LiCd3Cl crystal, with properties calculated at the GGA-PBE level.

```
data_LiCd3Cl
_cell_length_a 5.7057
_cell_length_b 5.7057
_cell_length_c 5.7057
_cell_angle_alpha 90.00
_cell_angle_beta 90.00
_cell_angle_gamma 90.00
_space_group_name_H-M_alt 'P m -3 m'
_space_group_IT_number 221
_space_group_name_Hall '-P 4 2 3'
loop_
_atom_site_label
_atom_site_fract_x
_atom_site_fract_y
_atom_site_fract_z
Li1 0.0000 0.0000 0.0000
Cd1 0.0000 0.5000 0.5000
Cl1 0.5000 0.5000 0.5000
```

Output
The calculation puts the offset from the most stable computed form at 290 meV per atom. The calculation puts the final energy at -1.058 eV per atom. The calculation puts the uncorrected formation energy at 0.24 eV/atom.

Below is a relaxed Li5CdCl8 crystal, with properties calculated at the GGA-PBE level.

```
data_Li5CdCl8
_cell_length_a 10.6227
_cell_length_b 10.6227
_cell_length_c 10.6227
_cell_angle_alpha 90.00
_cell_angle_beta 90.00
_cell_angle_gamma 90.00
_space_group_name_H-M_alt 'F -4 3 m'
_space_group_IT_number 216
_space_group_name_Hall 'F -4 2 3'
loop_
_atom_site_label
_atom_site_fract_x
_atom_site_fract_y
_atom_site_fract_z
Li1 0.0000 0.0000 0.0000
Li2 0.1319 0.1319 0.6319
Cd1 0.2500 0.2500 0.2500
Cl1 0.1145 0.1145 0.3855
Cl2 0.1308 0.1308 0.8692
```

Output
The calculation puts the final energy at -3.242 eV per atom. The calculation puts the uncorrected formation energy at -1.44 eV/atom.

Below is a relaxed Li3CdCl crystal, with properties calculated at the GGA-PBE level.

```
data_Li3CdCl
_cell_length_a 5.2253
_cell_length_b 5.2253
_cell_length_c 5.2253
_cell_angle_alpha 90.00
_cell_angle_beta 90.00
_cell_angle_gamma 90.00
_space_group_name_H-M_alt 'P m -3 m'
_space_group_IT_number 221
_space_group_name_Hall '-P 4 2 3'
loop_
_atom_site_label
_atom_site_fract_x
_atom_site_fract_y
_atom_site_fract_z
Li1 0.0000 0.0000 0.5000
Cd1 0.0000 0.0000 0.0000
Cl1 0.5000 0.5000 0.5000
```

Output
The calculation puts the offset from the most stable computed form at 549 meV per atom. The calculation puts the final energy at -1.765 eV per atom. The calculation puts the uncorrected formation energy at -0.06 eV/atom.

Below is a relaxed Li4CdCl crystal, with properties calculated at the GGA-PBE level.

```
data_Li4CdCl
_cell_length_a 8.0436
_cell_length_b 8.0436
_cell_length_c 8.0436
_cell_angle_alpha 90.00
_cell_angle_beta 90.00
_cell_angle_gamma 90.00
_space_group_name_H-M_alt 'F -4 3 m'
_space_group_IT_number 216
_space_group_name_Hall 'F -4 2 3'
loop_
_atom_site_label
_atom_site_fract_x
_atom_site_fract_y
_atom_site_fract_z
Li1 0.1238 0.1238 0.1238
Cd1 0.2500 0.2500 0.7500
Cl1 0.0000 0.0000 0.5000
```

Output
The calculation puts the final energy at -1.918 eV per atom. The calculation puts the uncorrected formation energy at -0.18 eV/atom.

Below is a relaxed LiCd3Cl crystal, with properties calculated at the GGA-PBE level.

```
data_LiCd3Cl
_cell_length_a 5.1580
_cell_length_b 5.1580
_cell_length_c 5.1580
_cell_angle_alpha 90.00
_cell_angle_beta 90.00
_cell_angle_gamma 90.00
_space_group_name_H-M_alt 'P m -3 m'
_space_group_IT_number 221
_space_group_name_Hall '-P 4 2 3'
loop_
_atom_site_label
_atom_site_fract_x
_atom_site_fract_y
_atom_site_fract_z
Li1 0.0000 0.0000 0.0000
Cd1 0.0000 0.0000 0.5000
Cl1 0.5000 0.5000 0.5000
```

Output
The calculation puts the offset from the most stable computed form at 0 meV per atom. The calculation puts the final energy at -1.348 eV per atom. The calculation puts the uncorrected formation energy at -0.05 eV/atom.